A plane-wave DFT calculation with GGA-PBE was carried out for an optimized crystal structure of YZrFe4.

## Properties
space-group type: F-43m (216)
total DFT energy (no corrections): -8.306 eV/atom
magnetic moment: 1.071 μB per atom

Cell and atoms, written as extended XYZ:
```
6
Lattice="5.066 0.000 0.000 2.533 4.387 0.000 2.533 1.462 4.136" Properties=species:S:1:pos:R:3 pbc="T T T"
Fe 5.066 1.459 2.586
Fe 3.796 3.658 2.586
Fe 5.066 2.925 0.513
Fe 6.335 3.658 2.586
Zr 0.000 0.000 0.000
Y 2.533 1.462 1.034
```



A plane-wave DFT calculation with GGA-PBE was carried out for an optimized crystal structure of NpUFeCu.

## Properties
space-group type: F-43m (216)
total DFT energy (no corrections): -9.183 eV/atom
magnetic moment: 1.017 μB per atom

Cell and atoms, written as extended XYZ:
```
4
Lattice="-1.383 -3.129 -2.890 2.702 -1.342 -3.309 1.803 -4.098 0.104" Properties=species:S:1:pos:R:3 pbc="T T T"
U 0.000 0.000 0.000
Np 2.342 -6.427 -4.571
Fe 0.781 -2.142 -1.524
Cu 1.561 -4.284 -3.047
```



A plane-wave DFT calculation with GGA-PBE was carried out for an optimized crystal structure of AcTbPmHo.

## Properties
distance to the lowest polymorph of the same formula: 0 meV/atom
space-group type: P4mm (99)
total DFT energy (no corrections): -4.465 eV/atom
magnetic moment: 0.000 μB per atom

Cell and atoms, written as extended XYZ:
```
4
Lattice="-2.395 -2.730 0.727 2.792 -2.143 1.154 -1.191 3.605 9.587" Properties=species:S:1:pos:R:3 pbc="T T T"
Pm -1.106 -0.871 5.270
Ac 1.170 0.384 8.041
Ho 1.773 -1.440 3.189
Tb -1.736 1.036 10.342
```



Calculated formation energy (computed, eV/atom): -0.162, 0.014, 0.051
Density of states at the Fermi level (computed, states/eV per cell): 4.1, 2.8, 6.4